First-principles (PBE) data for an optimized crystal structure of TmHg2Pd5, as listed in Alexandria via LeMat-Bulk.

Unit cell a=4.2296 b=4.2296 c=8.4709 alpha=104.46 beta=104.46 gamma=90.00
Fractional coordinates of all 8 atoms:
Hg1 0.7476 0.7476 0.4953
Pd1 0.8759 0.3759 0.7519
Pd2 0.5000 0.5000 0.0000
Pd3 0.6241 0.1241 0.2481
Hg2 0.2524 0.2524 0.5047
Tm1 0.0000 0.0000 0.0000
Pd4 0.1241 0.6241 0.2481
Pd5 0.3759 0.8759 0.7519

Results
As for the size of the total moment: 0.000 μB per cell. The density of states at the Fermi level is 3.29 states/eV/f.u. The value obtained for the distance to the lowest polymorph of the same formula is 0.00 eV/f.u. For the formation energy, the calculation gives -0.510 eV/atom. The calculation puts the theoretical density at 12.91 Mg/m³. As for the symmetry: I4/mmm (139).